(1)
{"formula": "Y2Er", "functional": "PBE-GGA", "state": "optimized geometry", "cell": [[0.0000, 4.6463, 4.6463], [4.6463, 0.0000, 4.6463], [4.6463, 4.6463, 0.0000]], "species": ["Y", "Y", "Y", "Y", "Er", "Er"], "fractional_positions": [[0.0000, 0.0000, 0.0000], [0.0000, 0.0000, 0.5000], [0.0000, 0.5000, 0.0000], [0.5000, 0.0000, 0.0000], [0.3750, 0.3750, 0.3750], [0.6250, 0.6250, 0.6250]], "e_tot_ev_per_fu": -16.644, "delta_e_f_kj_per_mol_fu": 82, "e_above_lowest_polymorph_ev_per_fu": 0.84}

(2)
{"formula": "SrY4Ag5", "functional": "PBE-GGA", "state": "optimized geometry", "cell": [[3.6718, 0.0000, 0.0000], [0.0000, 3.6718, 0.0000], [0.0000, 0.0000, 18.7456]], "species": ["Sr", "Y", "Y", "Y", "Y", "Ag", "Ag", "Ag", "Ag", "Ag"], "fractional_positions": [[0.0000, 0.0000, 0.0000], [0.0000, 0.0000, 0.2075], [0.0000, 0.0000, 0.4030], [0.0000, 0.0000, 0.5970], [0.0000, 0.0000, 0.7925], [0.5000, 0.5000, 0.1184], [0.5000, 0.5000, 0.3048], [0.5000, 0.5000, 0.5000], [0.5000, 0.5000, 0.6952], [0.5000, 0.5000, 0.8816]], "e_tot_ev_per_fu": -44.902, "delta_e_f_kj_per_mol_fu": -300}

(3)
{"formula": "BaVTc2", "functional": "PBE-GGA", "state": "optimized geometry", "cell": [[-2.5146, 2.5146, 8.1959], [2.5146, -2.5146, 8.1959], [2.5146, 2.5146, -8.1959]], "species": ["Ba", "Ba", "V", "V", "Tc", "Tc", "Tc", "Tc"], "fractional_positions": [[0.3750, 0.6250, 0.7500], [0.6250, 0.3750, 0.2500], [0.1250, 0.8750, 0.2500], [0.8750, 0.1250, 0.7500], [0.0000, 0.0000, 0.0000], [0.0000, 0.0000, 0.5000], [0.0000, 0.5000, 0.0000], [0.5000, 0.0000, 0.5000]], "e_tot_ev_per_fu": -27.896, "delta_e_f_kj_per_mol_fu": 374, "e_above_lowest_polymorph_ev_per_fu": 0.00}

(4)
{"formula": "CaIn3H", "functional": "PBE-GGA", "state": "optimized geometry", "cell": [[4.8176, 0.0000, 0.0000], [0.0000, 4.8176, 0.0000], [0.0000, 0.0000, 4.8176]], "species": ["Ca", "In", "In", "In", "H"], "fractional_positions": [[0.0000, 0.0000, 0.0000], [0.0000, 0.5000, 0.5000], [0.5000, 0.0000, 0.5000], [0.5000, 0.5000, 0.0000], [0.5000, 0.5000, 0.5000]], "e_tot_ev_per_fu": -13.705}

Q: What is the formula in the fourth record?
A: CaIn3H

Q: Number 1 is which compound?
A: Y2Er

Repeat the third record exactly.
{"formula": "BaVTc2", "functional": "PBE-GGA", "state": "optimized geometry", "cell": [[-2.5146, 2.5146, 8.1959], [2.5146, -2.5146, 8.1959], [2.5146, 2.5146, -8.1959]], "species": ["Ba", "Ba", "V", "V", "Tc", "Tc", "Tc", "Tc"], "fractional_positions": [[0.3750, 0.6250, 0.7500], [0.6250, 0.3750, 0.2500], [0.1250, 0.8750, 0.2500], [0.8750, 0.1250, 0.7500], [0.0000, 0.0000, 0.0000], [0.0000, 0.0000, 0.5000], [0.0000, 0.5000, 0.0000], [0.5000, 0.0000, 0.5000]], "e_tot_ev_per_fu": -27.896, "delta_e_f_kj_per_mol_fu": 374, "e_above_lowest_polymorph_ev_per_fu": 0.00}